Material: Cu2NiAg
Method: DFT, PBE
State: optimized geometry

abc: 4.9947 4.9947 4.9947
angles: 146.70 128.68 62.56
Fractional coordinates of all 4 atoms:
1 Cu 0.2369 0.2369 0.0000
2 Cu 0.7631 0.7631 0.0000
3 Ni 0.0000 0.5000 0.5000
4 Ag 0.5000 0.0000 0.5000

The space group is Immm, No. 71. For the formation energy, the calculation gives 0.1646 eV/atom. For the mass density, the calculation gives 9.227 g cm⁻³. For the raw total energy, the calculation gives -4.04 eV per atom.